Entry 1:
A geometry-optimized Nd2HoPb3 structure, computed with PBE-GGA.

Geometry as CIF:
```
data_Nd2HoPb3
_cell_length_a 8.070
_cell_length_b 8.070
_cell_length_c 9.148
_cell_angle_alpha 90.00
_cell_angle_beta 90.00
_cell_angle_gamma 143.73
_space_group_name_H-M_alt 'P 1'
_space_group_IT_number 1
loop_
_space_group_symop_operation_xyz
'x,y,z'
loop_
_atom_site_label
_atom_site_fract_x
_atom_site_fract_y
_atom_site_fract_z
Nd1 0.000 0.000 0.000
Nd2 0.000 0.000 0.500
Nd3 0.333 0.667 0.000
Nd4 0.667 0.333 0.000
Ho1 0.332 0.668 0.500
Ho2 0.668 0.332 0.500
Pb1 0.168 0.832 0.255
Pb2 0.168 0.832 0.745
Pb3 0.500 0.500 0.255
Pb4 0.500 0.500 0.745
Pb5 0.832 0.168 0.255
Pb6 0.832 0.168 0.745
```

Calculated values
- energy above the most stable polymorph in this dataset (meV per atom) = 0
- density of states at the Fermi level (states/eV/f.u.) = 5.009
- formation enthalpy at 0 K (eV/atom) = -0.484

Entry 2:
A geometry-optimized Nd4HoPb4 structure, computed with PBE-GGA.

Geometry as CIF:
```
data_Nd4HoPb4
_cell_length_a 9.622
_cell_length_b 9.622
_cell_length_c 6.555
_cell_angle_alpha 90.00
_cell_angle_beta 90.00
_cell_angle_gamma 90.00
_space_group_name_H-M_alt 'P 1'
_space_group_IT_number 1
loop_
_space_group_symop_operation_xyz
'x,y,z'
loop_
_atom_site_label
_atom_site_fract_x
_atom_site_fract_y
_atom_site_fract_z
Nd1 0.028 0.670 0.119
Nd2 0.170 0.972 0.619
Nd3 0.330 0.528 0.619
Nd4 0.472 0.830 0.119
Nd5 0.528 0.170 0.881
Nd6 0.670 0.472 0.381
Nd7 0.830 0.028 0.381
Nd8 0.972 0.330 0.881
Ho1 0.250 0.250 0.250
Ho2 0.750 0.750 0.750
Pb1 0.027 0.653 0.611
Pb2 0.153 0.973 0.111
Pb3 0.347 0.527 0.111
Pb4 0.473 0.847 0.611
Pb5 0.527 0.153 0.389
Pb6 0.653 0.473 0.889
Pb7 0.847 0.027 0.889
Pb8 0.973 0.347 0.389
```

Calculated values
- density of states at the Fermi level (states/eV/f.u.) = 6.756
- formation enthalpy at 0 K (eV/atom) = -0.316

Entry 3:
A geometry-optimized PrNdHoPb structure, computed with PBE-GGA.

Geometry as CIF:
```
data_PrNdHoPb
_cell_length_a 5.613
_cell_length_b 5.613
_cell_length_c 5.613
_cell_angle_alpha 60.00
_cell_angle_beta 60.00
_cell_angle_gamma 60.00
_space_group_name_H-M_alt 'P 1'
_space_group_IT_number 1
loop_
_space_group_symop_operation_xyz
'x,y,z'
loop_
_atom_site_label
_atom_site_fract_x
_atom_site_fract_y
_atom_site_fract_z
Pr1 0.000 0.000 0.000
Nd1 0.500 0.500 0.500
Ho1 0.750 0.750 0.750
Pb1 0.250 0.250 0.250
```

Calculated values
- density of states at the Fermi level (states/eV/f.u.) = 7.848
- formation enthalpy at 0 K (eV/atom) = -0.150

Entry 4:
A geometry-optimized Pr3Nd2Ho6Pb structure, computed with PBE-GGA.

Geometry as CIF:
```
data_Pr3Nd2Ho6Pb
_cell_length_a 6.179
_cell_length_b 6.179
_cell_length_c 11.815
_cell_angle_alpha 95.02
_cell_angle_beta 95.02
_cell_angle_gamma 119.98
_space_group_name_H-M_alt 'P 1'
_space_group_IT_number 1
loop_
_space_group_symop_operation_xyz
'x,y,z'
loop_
_atom_site_label
_atom_site_fract_x
_atom_site_fract_y
_atom_site_fract_z
Pr1 0.000 0.000 0.000
Pr2 0.332 0.668 0.000
Pr3 0.668 0.332 0.000
Nd1 0.166 0.834 0.500
Nd2 0.834 0.166 0.500
Ho1 0.092 0.418 0.254
Ho2 0.256 0.256 0.747
Ho3 0.418 0.092 0.254
Ho4 0.582 0.908 0.746
Ho5 0.744 0.744 0.253
Ho6 0.908 0.582 0.746
Pb1 0.500 0.500 0.500
```

Calculated values
- density of states at the Fermi level (states/eV/f.u.) = 13.855
- formation enthalpy at 0 K (eV/atom) = -0.066

Entry 5:
A geometry-optimized NdHoRuPb structure, computed with PBE-GGA.

Geometry as CIF:
```
data_NdHoRuPb
_cell_length_a 3.451
_cell_length_b 3.451
_cell_length_c 8.471
_cell_angle_alpha 90.00
_cell_angle_beta 90.00
_cell_angle_gamma 90.00
_space_group_name_H-M_alt 'P 1'
_space_group_IT_number 1
loop_
_space_group_symop_operation_xyz
'x,y,z'
loop_
_atom_site_label
_atom_site_fract_x
_atom_site_fract_y
_atom_site_fract_z
Nd1 0.000 0.000 0.000
Ho1 0.000 0.000 0.598
Ru1 0.500 0.500 0.787
Pb1 0.500 0.500 0.309
```

Calculated values
- density of states at the Fermi level (states/eV/f.u.) = 1.936
- formation enthalpy at 0 K (eV/atom) = -0.412

Entry 6:
A geometry-optimized NdHo4PbS8 structure, computed with PBE-GGA.

Geometry as CIF:
```
data_NdHo4PbS8
_cell_length_a 8.238
_cell_length_b 8.238
_cell_length_c 8.238
_cell_angle_alpha 58.93
_cell_angle_beta 58.93
_cell_angle_gamma 58.93
_space_group_name_H-M_alt 'P 1'
_space_group_IT_number 1
loop_
_space_group_symop_operation_xyz
'x,y,z'
loop_
_atom_site_label
_atom_site_fract_x
_atom_site_fract_y
_atom_site_fract_z
Nd1 0.000 0.000 0.000
Ho1 0.493 0.999 0.999
Ho2 0.624 0.624 0.624
Ho3 0.999 0.493 0.999
Ho4 0.999 0.999 0.493
Pb1 0.371 0.371 0.371
S1 0.228 0.750 0.750
S2 0.232 0.232 0.232
S3 0.242 0.242 0.785
S4 0.242 0.785 0.242
S5 0.750 0.228 0.750
S6 0.750 0.750 0.228
S7 0.756 0.756 0.756
S8 0.785 0.242 0.242
```

Calculated values
- electronic total energy (Ha/atom) = -0.2216
- density of states at the Fermi level (states/eV/f.u.) = 4.077

Entry 7:
A geometry-optimized Nd3Sm2Ho6Pb structure, computed with PBE-GGA.

Geometry as CIF:
```
data_Nd3Sm2Ho6Pb
_cell_length_a 6.154
_cell_length_b 6.154
_cell_length_c 11.759
_cell_angle_alpha 95.03
_cell_angle_beta 95.03
_cell_angle_gamma 120.00
_space_group_name_H-M_alt 'P 1'
_space_group_IT_number 1
loop_
_space_group_symop_operation_xyz
'x,y,z'
loop_
_atom_site_label
_atom_site_fract_x
_atom_site_fract_y
_atom_site_fract_z
Nd1 0.000 0.000 0.000
Nd2 0.332 0.668 0.000
Nd3 0.668 0.332 0.000
Sm1 0.166 0.834 0.500
Sm2 0.834 0.166 0.500
Ho1 0.092 0.419 0.254
Ho2 0.255 0.255 0.747
Ho3 0.419 0.092 0.254
Ho4 0.581 0.908 0.746
Ho5 0.745 0.745 0.253
Ho6 0.908 0.581 0.746
Pb1 0.500 0.500 0.500
```

Calculated values
- density of states at the Fermi level (states/eV/f.u.) = 14.377
- formation enthalpy at 0 K (eV/atom) = -0.062

Entry 8:
A geometry-optimized NdHoSnPb structure, computed with PBE-GGA.

Geometry as CIF:
```
data_NdHoSnPb
_cell_length_a 5.469
_cell_length_b 5.469
_cell_length_c 5.469
_cell_angle_alpha 60.00
_cell_angle_beta 60.00
_cell_angle_gamma 60.00
_space_group_name_H-M_alt 'P 1'
_space_group_IT_number 1
loop_
_space_group_symop_operation_xyz
'x,y,z'
loop_
_atom_site_label
_atom_site_fract_x
_atom_site_fract_y
_atom_site_fract_z
Nd1 0.000 0.000 0.000
Ho1 0.500 0.500 0.500
Sn1 0.750 0.750 0.750
Pb1 0.250 0.250 0.250
```

Calculated values
- density of states at the Fermi level (states/eV/f.u.) = 4.301
- formation enthalpy at 0 K (eV/atom) = -0.473

Entry 9:
A geometry-optimized Tb6Nd3Ho2Pb structure, computed with PBE-GGA.

Geometry as CIF:
```
data_Tb6Nd3Ho2Pb
_cell_length_a 6.183
_cell_length_b 6.183
_cell_length_c 11.720
_cell_angle_alpha 95.09
_cell_angle_beta 95.09
_cell_angle_gamma 120.02
_space_group_name_H-M_alt 'P 1'
_space_group_IT_number 1
loop_
_space_group_symop_operation_xyz
'x,y,z'
loop_
_atom_site_label
_atom_site_fract_x
_atom_site_fract_y
_atom_site_fract_z
Tb1 0.080 0.408 0.244
Tb2 0.247 0.247 0.754
Tb3 0.408 0.080 0.244
Tb4 0.592 0.920 0.756
Tb5 0.753 0.753 0.246
Tb6 0.920 0.592 0.756
Nd1 0.168 0.832 0.500
Nd2 0.500 0.500 0.500
Nd3 0.832 0.168 0.500
Ho1 0.334 0.666 0.000
Ho2 0.666 0.334 0.000
Pb1 0.000 0.000 0.000
```

Calculated values
- density of states at the Fermi level (states/eV/f.u.) = 16.011
- formation enthalpy at 0 K (eV/atom) = -0.047

Entry 10:
A geometry-optimized NdHoTePb structure, computed with PBE-GGA.

Geometry as CIF:
```
data_NdHoTePb
_cell_length_a 7.758
_cell_length_b 7.758
_cell_length_c 7.758
_cell_angle_alpha 33.55
_cell_angle_beta 33.55
_cell_angle_gamma 33.55
_space_group_name_H-M_alt 'P 1'
_space_group_IT_number 1
loop_
_space_group_symop_operation_xyz
'x,y,z'
loop_
_atom_site_label
_atom_site_fract_x
_atom_site_fract_y
_atom_site_fract_z
Nd1 0.000 0.000 0.000
Ho1 0.506 0.506 0.506
Te1 0.757 0.757 0.757
Pb1 0.250 0.250 0.250
```

Calculated values
- electronic total energy (Ha/atom) = -0.1841
- density of states at the Fermi level (states/eV/f.u.) = 1.347

| no. | M_tot (μB/cell) |
| --- | --- |
| 1 | 0.009 |
| 2 | 0.000 |
| 3 | 0.003 |
| 4 | 0.000 |
| 5 | 0.000 |
| 6 | 0.000 |
| 7 | 0.000 |
| 8 | 0.000 |
| 9 | 0.016 |
| 10 | 0.000 |